No. 1
! HoSc7Cd4 | the Alexandria database | PBE-GGA | relaxed; values from VASP
! * magnetic moment: 0.00 μB per cell
! * ρ: 5.3 g/cm3
&SYSTEM
  ibrav = 0, nat = 12, ntyp = 3
/
ATOMIC_SPECIES
Ho 164.93 Ho.upf
Sc 44.96 Sc.upf
Cd 112.41 Cd.upf
CELL_PARAMETERS angstrom
6.991 -2.666 0.000
6.991 2.666 0.000
-4.826 0.000 7.790
ATOMIC_POSITIONS crystal
Ho 0.000 0.000 0.000
Sc 0.073 0.073 0.422
Sc 0.211 0.211 0.883
Sc 0.258 0.258 0.302
Sc 0.500 0.500 0.000
Sc 0.742 0.742 0.698
Sc 0.789 0.789 0.117
Sc 0.927 0.927 0.578
Cd 0.319 0.319 0.659
Cd 0.453 0.453 0.288
Cd 0.547 0.547 0.712
Cd 0.681 0.681 0.341

No. 2
! HoScCd4 | the Alexandria database | PBE-GGA | relaxed; values from VASP
! * relative energy among the computed polymorphs: 0.0 meV/atom
! * magnetic moment: 0.00 μB per cell
! * ρ: 7.9 g/cm3
&SYSTEM
  ibrav = 0, nat = 6, ntyp = 3
/
ATOMIC_SPECIES
Ho 164.93 Ho.upf
Sc 44.96 Sc.upf
Cd 112.41 Cd.upf
CELL_PARAMETERS angstrom
3.313 0.000 0.000
0.000 4.923 0.000
-0.009 0.000 8.530
ATOMIC_POSITIONS crystal
Ho 0.000 0.000 0.000
Sc 0.000 0.500 0.500
Cd 0.499 0.000 0.663
Cd 0.500 0.500 0.171
Cd 0.500 0.500 0.829
Cd 0.501 0.000 0.337

No. 3
! Ho14ScCd | the Alexandria database | PBE-GGA | relaxed; values from VASP
! * magnetic moment: 0.00 μB per cell
! * ρ: 8.6 g/cm3
&SYSTEM
  ibrav = 0, nat = 16, ntyp = 3
/
ATOMIC_SPECIES
Ho 164.93 Ho.upf
Sc 44.96 Sc.upf
Cd 112.41 Cd.upf
CELL_PARAMETERS angstrom
9.865 0.000 0.000
0.000 4.917 4.917
0.000 -4.917 4.917
ATOMIC_POSITIONS crystal
Ho 0.000 0.000 0.000
Ho 0.000 0.000 0.500
Ho 0.000 0.500 0.000
Ho 0.000 0.500 0.500
Ho 0.254 0.249 0.249
Ho 0.255 0.249 0.751
Ho 0.255 0.751 0.249
Ho 0.255 0.751 0.751
Ho 0.500 0.001 0.499
Ho 0.500 0.499 0.001
Ho 0.745 0.249 0.751
Ho 0.745 0.751 0.249
Ho 0.745 0.751 0.751
Ho 0.746 0.249 0.249
Sc 0.500 0.000 0.000
Cd 0.500 0.500 0.500

No. 4
! Ho6ScCd | the Alexandria database | PBE-GGA | relaxed; values from VASP
! * magnetic moment: 0.07 μB per cell
! * ρ: 8.1 g/cm3
&SYSTEM
  ibrav = 0, nat = 8, ntyp = 3
/
ATOMIC_SPECIES
Ho 164.93 Ho.upf
Sc 44.96 Sc.upf
Cd 112.41 Cd.upf
CELL_PARAMETERS angstrom
6.187 0.000 0.000
-0.389 6.178 0.000
-0.391 -0.425 6.164
ATOMIC_POSITIONS crystal
Ho 0.036 0.255 0.046
Ho 0.245 0.955 0.463
Ho 0.455 0.464 0.745
Ho 0.545 0.536 0.255
Ho 0.755 0.045 0.537
Ho 0.964 0.745 0.954
Sc 0.500 0.000 0.000
Cd 0.000 0.500 0.500

No. 5
! Ho6Sc2Cd | the Alexandria database | PBE-GGA | relaxed; values from VASP
! * magnetic moment: 0.00 μB per cell
! * ρ: 7.8 g/cm3
&SYSTEM
  ibrav = 0, nat = 18, ntyp = 3
/
ATOMIC_SPECIES
Ho 164.93 Ho.upf
Sc 44.96 Sc.upf
Cd 112.41 Cd.upf
CELL_PARAMETERS angstrom
10.231 0.000 0.000
0.000 10.231 0.000
0.000 0.000 4.878
ATOMIC_POSITIONS crystal
Ho 0.004 0.330 0.000
Ho 0.157 0.843 0.500
Ho 0.170 0.504 0.500
Ho 0.330 0.004 0.000
Ho 0.343 0.343 0.000
Ho 0.496 0.830 0.500
Ho 0.504 0.170 0.500
Ho 0.657 0.657 0.000
Ho 0.670 0.996 0.000
Ho 0.830 0.496 0.500
Ho 0.843 0.157 0.500
Ho 0.996 0.670 0.000
Sc 0.172 0.172 0.500
Sc 0.328 0.672 0.000
Sc 0.672 0.328 0.000
Sc 0.828 0.828 0.500
Cd 0.000 0.000 0.000
Cd 0.500 0.500 0.500

No. 6
! Ho2ScCd | the Alexandria database | PBE-GGA | relaxed; values from VASP
! * relative energy among the computed polymorphs: 81.6 meV/atom
! * magnetic moment: 1.15 μB per cell
! * ρ: 7.3 g/cm3
&SYSTEM
  ibrav = 0, nat = 12, ntyp = 3
/
ATOMIC_SPECIES
Ho 164.93 Ho.upf
Sc 44.96 Sc.upf
Cd 112.41 Cd.upf
CELL_PARAMETERS angstrom
3.502 0.000 0.000
-1.751 3.033 0.000
0.000 0.000 31.348
ATOMIC_POSITIONS crystal
Ho 0.000 0.000 0.000
Ho 0.000 0.000 0.170
Ho 0.333 0.667 0.667
Ho 0.333 0.667 0.837
Ho 0.667 0.333 0.333
Ho 0.667 0.333 0.503
Sc 0.000 0.000 0.418
Sc 0.333 0.667 0.085
Sc 0.667 0.333 0.752
Cd 0.000 0.000 0.585
Cd 0.333 0.667 0.252
Cd 0.667 0.333 0.918

The evaluated V for the records listed, in turn: 24.20 23.19 29.82 29.45 28.37 27.75 A^3/atom.
The evaluated calculated formation energy for the records listed, in turn: 0.044 -0.265 0.004 0.062 0.000 -0.048 eV per atom.